# 1
{
  "formula": "CeSm6In3",
  "functional": "PBE",
  "state": "optimized geometry",
  "lattice": [[10.123, 0.000, 0.000], [0.000, 5.264, 0.000], [-1.949, 0.000, 11.219]],
  "species": ["Ce", "Ce", "Sm", "Sm", "Sm", "Sm", "Sm", "Sm", "Sm", "Sm", "Sm", "Sm", "Sm", "Sm", "In", "In", "In", "In", "In", "In"],
  "frac_coords": [[0.044, 0.250, 0.408], [0.956, 0.750, 0.592], [0.064, 0.750, 0.905], [0.138, 0.750, 0.224], [0.177, 0.250, 0.712], [0.270, 0.750, 0.518], [0.357, 0.250, 0.306], [0.454, 0.750, 0.098], [0.546, 0.250, 0.902], [0.643, 0.750, 0.694], [0.730, 0.250, 0.482], [0.823, 0.750, 0.288], [0.862, 0.250, 0.776], [0.936, 0.250, 0.095], [0.243, 0.250, 0.017], [0.355, 0.750, 0.807], [0.458, 0.250, 0.605], [0.542, 0.750, 0.395], [0.645, 0.250, 0.193], [0.757, 0.750, 0.983]],
  "spacegroup": "P2_1/m (11)",
  "n_ef_per_ev_cell": 24.57,
  "ef_mev_per_atom": -257
}

---

# 2
{
  "formula": "CeSm2In",
  "functional": "PBE",
  "state": "optimized geometry",
  "lattice": [[0.000, 3.871, 3.871], [3.871, 0.000, 3.871], [3.871, 3.871, 0.000]],
  "species": ["Ce", "Sm", "Sm", "In"],
  "frac_coords": [[0.000, 0.000, 0.000], [0.250, 0.250, 0.250], [0.750, 0.750, 0.750], [0.500, 0.500, 0.500]],
  "spacegroup": "Fm-3m (225)",
  "n_ef_per_ev_cell": 6.60,
  "ef_mev_per_atom": -88,
  "polymorph_energy_mev_per_atom": 136.4
}

---

# 3
{
  "formula": "CeSmIn",
  "functional": "PBE",
  "state": "optimized geometry",
  "lattice": [[5.380, 0.000, 0.000], [-2.690, 4.659, 0.000], [0.000, 0.000, 3.236]],
  "species": ["Ce", "Sm", "In"],
  "frac_coords": [[0.000, 0.000, 0.000], [0.667, 0.333, 0.006], [0.333, 0.667, 0.502]],
  "spacegroup": "P3m1 (156)",
  "n_ef_per_ev_cell": 6.53,
  "ef_mev_per_atom": -115,
  "polymorph_energy_mev_per_atom": 184.3
}